1.
Mg4SnHg2: optimized geometry, PBE.

Cell and atoms, written as POSCAR:
```
Mg4SnHg2
1.0
2.4235 -4.3531 0.0000
2.4235 4.3531 0.0000
0.0000 0.0000 15.0457
Mg Sn Hg
8 2 4
Direct
0.0000 0.0000 0.0000
0.0000 0.0000 0.5000
0.3320 0.6680 0.6390
0.3320 0.6680 0.8610
0.3406 0.6594 0.2500
0.6594 0.3406 0.7500
0.6680 0.3320 0.1390
0.6680 0.3320 0.3610
0.0129 0.9871 0.2500
0.9871 0.0129 0.7500
0.3322 0.6678 0.0611
0.3322 0.6678 0.4389
0.6678 0.3322 0.5611
0.6678 0.3322 0.9389
```

Output
Its crystal system is orthorhombic. For the offset from the most stable computed form, the calculation gives 0 meV per atom. The size of the total moment is 0.0 μB per formula unit. The space group is No. 63.


2.
MgSn2Hg6: optimized geometry, PBE.

Cell and atoms, written as POSCAR:
```
MgSn2Hg6
1.0
9.7603 -1.6229 0.0000
9.7603 1.6229 0.0000
-1.9594 0.0000 9.0215
Mg Sn Hg
1 2 6
Direct
0.0000 0.0000 0.0000
0.3787 0.3787 0.7910
0.6213 0.6213 0.2090
0.0133 0.0133 0.3542
0.2317 0.2317 0.8275
0.3957 0.3957 0.1356
0.6043 0.6043 0.8644
0.7683 0.7683 0.1725
0.9867 0.9867 0.6458
```

Output
Its crystal system is monoclinic. The size of the total moment is 0.0 μB per formula unit. The space group is No. 12.


3.
Mg8SnHg2: optimized geometry, PBE.

Cell and atoms, written as POSCAR:
```
Mg8SnHg2
1.0
4.0367 -6.5111 0.0000
4.0367 6.5111 0.0000
-1.8203 0.0000 4.8910
Mg Sn Hg
8 1 2
Direct
0.0874 0.3213 0.6128
0.2279 0.7721 0.0000
0.3213 0.0874 0.6128
0.3968 0.3968 0.1957
0.6032 0.6032 0.8043
0.6787 0.9126 0.3872
0.7721 0.2279 0.0000
0.9126 0.6787 0.3872
0.0000 0.0000 0.0000
0.3063 0.6937 0.5000
0.6937 0.3063 0.5000
```

Output
Its crystal system is monoclinic. For the offset from the most stable computed form, the calculation gives 31 meV per atom. The size of the total moment is 0.0 μB per formula unit. The space group is No. 12.


no.,volume (A^3/atom),total DFT energy (no corrections) (eV/f.u.),theoretical density (g/cm³)
1,22.7,-12.044,6.46
2,31.8,-10.946,8.51
3,23.4,-18.490,4.61